[1]
The following is a PBE-GGA calculation of a geometry-optimized Sr2IrO4 structure, from the Alexandria database.

abc: 13.6838 13.6838 13.6838
angles: 156.71 156.71 33.17
Positions (direct):
O 0.0798 0.0798 0.0000
Sr 0.1751 0.1751 0.0000
Ir 0.0000 0.0000 0.0000
O 0.6902 0.1902 0.8805
O 0.6702 0.1702 0.5000
O 0.9402 0.5598 0.0000
O 0.1702 0.6702 0.5000
Ir 0.7500 0.2500 0.5000
Sr 0.9251 0.4251 0.5000
O 0.8098 0.6902 0.5000
O 0.5598 0.9402 0.0000
Sr 0.6751 0.6751 0.0000
O 0.5798 0.5798 0.0000
O 0.8298 0.3298 0.5000
O 0.4402 0.4402 0.3805
Sr 0.4251 0.9251 0.5000
O 0.4202 0.4202 0.0000
O 0.9202 0.9202 0.0000
Sr 0.0749 0.5749 0.5000
Ir 0.5000 0.5000 0.0000
Sr 0.8249 0.8249 0.0000
O 0.1902 0.3098 0.5000
O 0.0598 0.0598 0.6195
Sr 0.5749 0.0749 0.5000
Sr 0.3249 0.3249 0.0000
Ir 0.2500 0.7500 0.5000
O 0.3298 0.8298 0.5000
O 0.3098 0.8098 0.1195

Summary:
Its space group is I4_1/acd. The value obtained for the energy above the most stable polymorph in this dataset is 0.0 meV per atom. The value obtained for the uncorrected formation energy is -1961 meV per atom. The value obtained for the total energy is -183.150 eV for the cell shown.

[2]
The following is a PBE-GGA calculation of a geometry-optimized SrIr2O2 structure, from the Alexandria database.

abc: 4.1334 4.1334 5.2663
angles: 66.89 66.89 90.00
Positions (direct):
Sr 0.0000 0.0000 0.0000
O 0.2500 0.7500 0.5000
O 0.7500 0.2500 0.5000
Ir 0.6554 0.6554 0.6892
Ir 0.3446 0.3446 0.3108

Summary:
Its space group is I4/mmm. The value obtained for the energy above the most stable polymorph in this dataset is 105.2 meV per atom. The value obtained for the uncorrected formation energy is -109 meV per atom. The value obtained for the total energy is -29.865 eV for the cell shown.

[3]
The following is a PBE-GGA calculation of a geometry-optimized Sr4IrO7 structure, from the Alexandria database.

abc: 3.9231 7.0965 8.6915
angles: 81.20 76.96 73.95
Last column: magnetic moment on the atom in μB.
Positions (direct):
O 0.8716 0.2704 0.9864  0.18
Sr 0.7731 0.6323 0.8215  0.00
O 0.6066 0.4790 0.3077  0.21
O 0.5000 0.0000 0.0000  -0.02
O 0.2264 0.1376 0.4097  0.34
Sr 0.3886 0.7729 0.4500  0.00
O 0.3934 0.5210 0.6923  0.21
Ir 0.0000 0.0000 0.0000  0.41
Sr 0.2269 0.3677 0.1785  0.00
O 0.1284 0.7296 0.0136  0.18
O 0.7736 0.8624 0.5903  0.34
Sr 0.6114 0.2271 0.5500  0.00

Summary:
Its space group is C2/m. The value obtained for the uncorrected formation energy is -1854 meV per atom. The value obtained for the total energy is -72.542 eV for the cell shown.

[4]
The following is a PBE-GGA calculation of a geometry-optimized SrIrO3 structure, from the Alexandria database.

abc: 5.6208 5.6208 14.3741
angles: 88.26 88.26 119.94
Positions (direct):
O 0.9664 0.4929 0.7356
Sr 0.6741 0.3483 0.3967
O 0.7857 0.0721 0.5988
O 0.0680 0.2701 0.0996
O 0.4914 0.5085 0.2500
Ir 0.0000 0.0000 0.5000
O 0.2701 0.0680 0.5996
Ir 0.6462 0.3133 0.6520
Sr 0.3259 0.6517 0.6033
O 0.7879 0.5950 0.5415
Sr 0.9978 0.0022 0.7500
O 0.5950 0.7879 0.0415
O 0.9279 0.2143 0.9012
Ir 0.3538 0.6867 0.3480
Ir 0.0000 0.0000 0.0000
O 0.9320 0.7299 0.9004
O 0.2121 0.4050 0.4585
O 0.2143 0.9279 0.4012
Ir 0.3133 0.6462 0.1520
Sr 0.6517 0.3259 0.1033
Ir 0.6867 0.3538 0.8480
O 0.5071 0.0336 0.7644
O 0.7299 0.9320 0.4004
O 0.5085 0.4914 0.7500
O 0.4050 0.2121 0.9585
Sr 0.3483 0.6741 0.8967
O 0.0336 0.5071 0.2644
Sr 0.0022 0.9978 0.2500
O 0.4929 0.9664 0.2356
O 0.0721 0.7857 0.0988

Summary:
Its space group is C2/c. The value obtained for the uncorrected formation energy is -1604 meV per atom. The value obtained for the total energy is -200.622 eV for the cell shown.

[5]
The following is a PBE-GGA calculation of a geometry-optimized SrIrO2 structure, from the Alexandria database.

abc: 6.6130 6.6130 6.6130
angles: 31.89 31.89 31.89
Last column: magnetic moment on the atom in μB.
Positions (direct):
Ir 0.0000 0.0000 0.0000  1.50
O 0.9003 0.9003 0.9003  0.26
O 0.0997 0.0997 0.0997  0.26
Sr 0.5000 0.5000 0.5000  0.04

Summary:
Its space group is R-3m. The value obtained for the uncorrected formation energy is -1268 meV per atom. The value obtained for the total energy is -25.531 eV for the cell shown.

[6]
The following is a PBE-GGA calculation of a geometry-optimized SrIr2O2 structure, from the Alexandria database.

abc: 7.6433 7.6433 2.8565
angles: 90.00 90.00 90.00
Positions (direct):
Ir 0.8891 0.6109 0.0000
O 0.2587 0.7587 0.5000
Sr 0.5000 0.5000 0.0000
Sr 0.0000 0.0000 0.0000
O 0.7413 0.2413 0.5000
Ir 0.1109 0.3891 0.0000
O 0.7587 0.7413 0.5000
Ir 0.3891 0.8891 0.0000
Ir 0.6109 0.1109 0.0000
O 0.2413 0.2587 0.5000

Summary:
Its space group is P4/mbm. The value obtained for the energy above the most stable polymorph in this dataset is 0.0 meV per atom. The value obtained for the uncorrected formation energy is -214 meV per atom. The value obtained for the total energy is -60.783 eV for the cell shown.

[7]
The following is a PBE-GGA calculation of a geometry-optimized Sr2IrO5 structure, from the Alexandria database.

abc: 5.5476 7.2894 11.1496
angles: 90.00 90.00 90.00
Last column: magnetic moment on the atom in μB.
Positions (direct):
Ir 0.7500 0.3199 0.5602  1.37
Sr 0.2500 0.9790 0.7868  0.01
O 0.2500 0.0476 0.2074  0.25
O 0.5000 0.0000 0.0000  0.15
O 0.0000 0.5000 0.5000  0.15
O 0.7500 0.4524 0.7074  0.25
Sr 0.2500 0.1638 0.4194  0.02
O 0.2500 0.2826 0.8948  0.18
Sr 0.7500 0.0210 0.2132  0.01
O 0.5004 0.6596 0.8893  0.22
O 0.9996 0.6596 0.8893  0.22
Sr 0.7500 0.5210 0.2868  0.01
Ir 0.2500 0.1801 0.0602  1.37
O 0.7500 0.9524 0.7926  0.25
O 0.5004 0.1596 0.6107  0.22
O 0.7500 0.2174 0.3948  0.18
Ir 0.7500 0.8199 0.9398  1.37
O 0.9996 0.1596 0.6107  0.22
O 0.7500 0.7174 0.1052  0.18
O 0.5000 0.5000 0.5000  0.15
Sr 0.7500 0.3362 0.9194  0.02
O 0.0004 0.3404 0.1107  0.22
O 0.4996 0.3404 0.1107  0.22
O 0.0000 0.0000 0.0000  0.15
Sr 0.2500 0.6638 0.0806  0.02
O 0.2500 0.5476 0.2926  0.25
Sr 0.2500 0.4790 0.7132  0.01
Ir 0.2500 0.6801 0.4398  1.37
O 0.4996 0.8404 0.3893  0.22
O 0.2500 0.7826 0.6052  0.18
Sr 0.7500 0.8362 0.5806  0.02
O 0.0004 0.8404 0.3893  0.22

Summary:
Its space group is Pnma. The value obtained for the uncorrected formation energy is -1826 meV per atom. The value obtained for the total energy is -206.499 eV for the cell shown.

[8]
The following is a PBE-GGA calculation of a geometry-optimized Sr2Ir2O7 structure, from the Alexandria database.

abc: 5.4957 6.3450 6.3450
angles: 115.74 95.67 95.67
Positions (direct):
O 0.2787 0.9359 0.6344
O 0.0000 0.0000 0.0000
O 0.2020 0.4474 0.4474
O 0.7213 0.3656 0.0641
Ir 0.8918 0.2622 0.2622
Sr 0.5000 0.6915 0.3085
Sr 0.5000 0.3085 0.6915
O 0.7213 0.0641 0.3656
O 0.2787 0.6344 0.9359
O 0.7980 0.5526 0.5526
Ir 0.1082 0.7378 0.7378

Summary:
Its space group is C2/m. The value obtained for the energy above the most stable polymorph in this dataset is 203.8 meV per atom. The value obtained for the uncorrected formation energy is -1338 meV per atom. The value obtained for the total energy is -70.510 eV for the cell shown.

[9]
The following is a PBE-GGA calculation of a geometry-optimized Sr2IrO4 structure, from the Alexandria database.

abc: 6.3837 5.8193 6.8522
angles: 90.00 108.58 90.00
Last column: magnetic moment on the atom in μB.
Positions (direct):
O 0.4858 0.9655 0.2563  0.02
Ir 0.7643 0.2500 0.7973  0.55
Sr 0.3163 0.2500 0.9672  0.01
O 0.9851 0.2500 0.6604  0.12
Sr 0.6837 0.7500 0.0328  0.01
Sr 0.2285 0.2500 0.4364  0.00
O 0.4858 0.5345 0.2563  0.02
O 0.5142 0.0345 0.7437  0.02
O 0.0149 0.7500 0.3396  0.12
Sr 0.7715 0.7500 0.5636  0.00
O 0.5142 0.4655 0.7437  0.02
Ir 0.2357 0.7500 0.2027  0.55
O 0.0230 0.7500 0.9354  0.13
O 0.9770 0.2500 0.0646  0.13

Summary:
Its space group is P2_1/m. The value obtained for the energy above the most stable polymorph in this dataset is 272.2 meV per atom. The value obtained for the uncorrected formation energy is -1689 meV per atom. The value obtained for the total energy is -87.765 eV for the cell shown.

[10]
The following is a PBE-GGA calculation of a geometry-optimized Sr3Ir2O8 structure, from the Alexandria database.

abc: 5.8648 5.8648 7.6536
angles: 67.47 67.47 60.00
Positions (direct):
O 0.6852 0.6852 0.9445
Sr 0.8002 0.8002 0.5993
O 0.3148 0.3148 0.0555
O 0.7856 0.2605 0.6934
Sr 0.0000 0.0000 0.0000
O 0.7395 0.7395 0.3066
O 0.7395 0.2144 0.3066
O 0.2144 0.7395 0.3066
Sr 0.1998 0.1998 0.4007
Ir 0.4049 0.4049 0.7854
O 0.2605 0.2605 0.6934
Ir 0.5951 0.5951 0.2146
O 0.2605 0.7856 0.6934

Summary:
Its space group is R-3m. The value obtained for the uncorrected formation energy is -1499 meV per atom. The value obtained for the total energy is -81.917 eV for the cell shown.

[11]
The following is a PBE-GGA calculation of a geometry-optimized Sr2TaIrO6 structure, from the Alexandria database.

abc: 5.6950 5.6971 8.0557
angles: 90.00 90.00 90.00
Positions (direct):
O 0.2535 0.0036 0.5000
O 0.5000 0.2501 0.7464
Ir 0.0000 0.7500 0.5000
O 0.5000 0.2501 0.2536
Sr 0.5000 0.7500 0.2500
Sr 0.0000 0.2500 0.7500
O 0.2465 0.9964 0.0000
O 0.7535 0.5037 0.0000
O 0.2535 0.4963 0.5000
O 0.7465 0.4963 0.5000
O 0.0000 0.7499 0.7536
Ir 0.5000 0.2500 0.0000
O 0.2465 0.5037 0.0000
O 0.7465 0.0036 0.5000
Sr 0.5000 0.7500 0.7500
O 0.7535 0.9964 0.0000
Ta 0.5000 0.2500 0.5000
Ta 0.0000 0.7500 0.0000
O 0.0000 0.7499 0.2464
Sr 0.0000 0.2500 0.2500

Summary:
Its space group is Fm-3m. The value obtained for the uncorrected formation energy is -2389 meV per atom. The value obtained for the total energy is -155.438 eV for the cell shown.

[12]
The following is a PBE-GGA calculation of a geometry-optimized SrTbIrO6 structure, from the Alexandria database.

abc: 5.6145 5.6145 10.3279
angles: 90.00 90.00 120.00
Last column: magnetic moment on the atom in μB.
Positions (direct):
O 0.6565 0.0456 0.3558  0.12
O 0.6565 0.6110 0.1442  0.12
O 0.6110 0.9544 0.8558  0.12
Sr 0.0000 0.0000 0.0000  0.01
Tb 0.3333 0.6667 0.2500  0.06
O 0.0456 0.6565 0.8558  0.12
O 0.9544 0.6110 0.3558  0.12
Ir 0.3333 0.6667 0.7500  1.00
Sr 0.0000 0.0000 0.5000  0.01
O 0.3435 0.3890 0.8558  0.12
Tb 0.6667 0.3333 0.7500  0.06
O 0.3890 0.3435 0.3558  0.12
O 0.3890 0.0456 0.1442  0.12
O 0.9544 0.3435 0.1442  0.12
O 0.3435 0.9544 0.6442  0.12
O 0.6110 0.6565 0.6442  0.12
Ir 0.6667 0.3333 0.2500  1.00
O 0.0456 0.3890 0.6442  0.12

Summary:
Its space group is P-31c. The value obtained for the uncorrected formation energy is -1902 meV per atom. The value obtained for the total energy is -124.073 eV for the cell shown.

[13]
The following is a PBE-GGA calculation of a geometry-optimized Sr2TcIrO6 structure, from the Alexandria database.

abc: 4.0932 5.6025 5.6025
angles: 90.00 90.00 90.00
Last column: magnetic moment on the atom in μB.
Positions (direct):
O 0.6451 0.2478 0.7522  0.07
O 0.1447 0.5000 0.5000  -0.03
Ir 0.6446 0.5000 0.5000  -0.16
Sr 0.1440 0.5000 0.0000  0.00
Tc 0.6444 0.0000 0.0000  1.50
O 0.6451 0.7522 0.2478  0.07
O 0.6451 0.2478 0.2478  0.07
O 0.6451 0.7522 0.7522  0.07
O 0.1448 0.0000 0.0000  0.08
Sr 0.1440 0.0000 0.5000  0.00

Summary:
Its space group is P4/mmm. The value obtained for the uncorrected formation energy is -1769 meV per atom. The value obtained for the total energy is -70.026 eV for the cell shown.

[14]
The following is a PBE-GGA calculation of a geometry-optimized SrTcIrO6 structure, from the Alexandria database.

abc: 5.3515 5.3515 5.2059
angles: 90.00 90.00 60.00
Last column: magnetic moment on the atom in μB.
Positions (direct):
O 0.6233 0.3839 0.7002  -0.01
O 0.9928 0.3839 0.2998  -0.01
O 0.3838 0.9928 0.7002  -0.01
O 0.6233 0.9928 0.2998  -0.01
O 0.9928 0.6233 0.7002  -0.01
Tc 0.6666 0.6667 0.5000  0.14
Sr 0.0000 0.0000 0.0000  0.00
Ir 0.3333 0.3333 0.5000  -0.09
O 0.3839 0.6233 0.2998  -0.01

Summary:
Its space group is P312. The value obtained for the uncorrected formation energy is -1547 meV per atom. The value obtained for the total energy is -64.583 eV for the cell shown.

[15]
The following is a PBE-GGA calculation of a geometry-optimized SrTeIrO6 structure, from the Alexandria database.

abc: 5.3273 5.3273 10.8092
angles: 90.00 90.00 120.00
Last column: magnetic moment on the atom in μB.
Positions (direct):
Sr 0.0000 0.0000 0.0000  0.00
O 0.6317 0.0025 0.3505  0.05
O 0.0025 0.3708 0.6495  0.05
O 0.3708 0.3683 0.3505  0.05
O 0.6317 0.6292 0.1495  0.05
O 0.9975 0.3683 0.1495  0.05
O 0.0025 0.6317 0.8505  0.05
Te 0.6667 0.3333 0.2500  0.00
O 0.6292 0.6317 0.6495  0.05
Ir 0.3333 0.6667 0.2500  0.66
Sr 0.0000 0.0000 0.5000  0.00
Te 0.3333 0.6667 0.7500  0.00
O 0.6292 0.9975 0.8505  0.05
O 0.3683 0.9975 0.6495  0.05
O 0.3708 0.0025 0.1495  0.05
O 0.9975 0.6292 0.3505  0.05
Ir 0.6667 0.3333 0.7500  0.66
O 0.3683 0.3708 0.8505  0.05

Summary:
Its space group is P-31c. The value obtained for the uncorrected formation energy is -1455 meV per atom. The value obtained for the total energy is -113.062 eV for the cell shown.

[16]
The following is a PBE-GGA calculation of a geometry-optimized SrTeIrO5 structure, from the Alexandria database.

abc: 5.9975 5.9975 8.0708
angles: 109.33 109.33 101.34
Last column: magnetic moment on the atom in μB.
Positions (direct):
O 0.3616 0.2452 0.1181  0.01
Sr 0.6838 0.3162 0.7500  0.00
O 0.0283 0.9717 0.2500  0.16
Te 0.2838 0.7162 0.7500  0.00
O 0.1074 0.6881 0.9332  0.03
O 0.6881 0.1074 0.4332  0.03
O 0.3119 0.8926 0.5668  0.03
Ir 0.0000 0.0000 0.0000  0.38
O 0.8926 0.3119 0.0668  0.03
Te 0.7162 0.2838 0.2500  0.00
Sr 0.3162 0.6838 0.2500  0.00
O 0.9717 0.0283 0.7500  0.16
Ir 0.0000 0.0000 0.5000  0.38
O 0.6384 0.7548 0.8819  0.01
O 0.2452 0.3616 0.6181  0.01
O 0.7548 0.6384 0.3819  0.01

Summary:
Its space group is C2/c. The value obtained for the uncorrected formation energy is -1295 meV per atom. The value obtained for the total energy is -97.664 eV for the cell shown.

[17]
The following is a PBE-GGA calculation of a geometry-optimized SrTe2IrO structure, from the Alexandria database.

abc: 6.0569 4.0381 6.0569
angles: 90.00 90.00 90.00
Last column: magnetic moment on the atom in μB.
Positions (direct):
Sr 0.0000 0.0000 0.0000  0.00
Ir 0.5000 0.5000 0.5000  1.07
Te 0.0000 0.0000 0.5000  0.02
Te 0.5000 0.0000 0.0000  -0.02
O 0.0000 0.5000 0.0000  0.01

Summary:
Its space group is P4/mmm. The value obtained for the uncorrected formation energy is 848 meV per atom. The value obtained for the total energy is -17.545 eV for the cell shown.

[18]
The following is a PBE-GGA calculation of a geometry-optimized SrThIr2O8 structure, from the Alexandria database.

abc: 5.9287 5.9287 7.3193
angles: 90.00 90.00 120.00
Positions (direct):
Th 0.0000 0.0000 0.5000
Ir 0.6667 0.3333 0.1850
Sr 0.0000 0.0000 0.0000
O 0.3333 0.6667 0.0596
O 0.3266 0.1642 0.2874
O 0.8358 0.1624 0.2874
Ir 0.3333 0.6667 0.8150
O 0.1624 0.3266 0.7126
O 0.8376 0.6734 0.2874
O 0.6667 0.3333 0.9404
O 0.1642 0.8376 0.7126
O 0.6734 0.8358 0.7126

Summary:
Its space group is P-3. The value obtained for the uncorrected formation energy is -1458 meV per atom. The value obtained for the total energy is -83.989 eV for the cell shown.